[1]
This record from Alexandria via LeMat-Bulk describes a relaxed structure of Cu5Mo. The functional is PBEsol.

```
Cu5Mo
1.0
2.539 0.000 0.000
0.000 2.539 0.000
0.000 0.000 11.142
Cu Mo
5 1
direct
0.000 0.000 0.000 Cu
0.000 0.000 0.318 Cu
0.000 0.000 0.682 Cu
0.500 0.500 0.158 Cu
0.500 0.500 0.842 Cu
0.500 0.500 0.500 Mo
```

Energy of formation from the pure elements   84 meV per atom
Magnetization   0.0 μB/f.u.
Space-group type   P4/mmm



[2]
This record from Alexandria via LeMat-Bulk describes a relaxed structure of MgCr2Tc. The functional is PBEsol.

```
MgCr2Tc
1.0
2.554 0.000 0.000
0.000 4.126 0.000
-0.926 0.000 5.000
Mg Cr Tc
1 2 1
direct
0.000 0.000 0.000 Mg
0.267 0.500 0.744 Cr
0.484 0.000 0.510 Cr
0.706 0.500 0.267 Tc
```

Energy of formation from the pure elements   376 meV per atom
Magnetization   0.0 μB/f.u.
Space-group type   Pm



[3]
This record from Alexandria via LeMat-Bulk describes a relaxed structure of YScIn. The functional is PBEsol.

```
YScIn
1.0
-1.685 1.685 6.567
1.685 -1.685 6.567
1.685 1.685 -6.567
Y Sc In
1 1 1
direct
0.000 0.000 0.000 Y
0.683 0.683 0.000 Sc
0.332 0.332 0.000 In
```

Energy of formation from the pure elements   -349 meV per atom
Magnetization   0.0 μB/f.u.
Space-group type   I4mm



[4]
This record from Alexandria via LeMat-Bulk describes a relaxed structure of Sr4As. The functional is PBEsol.

```
Sr4As
1.0
-2.242 2.242 10.272
2.242 -2.242 10.272
2.242 2.242 -10.272
Sr As
4 1
direct
0.078 0.078 0.000 Sr
0.250 0.750 0.500 Sr
0.750 0.250 0.500 Sr
0.922 0.922 0.000 Sr
0.500 0.500 0.000 As
```

Energy of formation from the pure elements   110 meV per atom
Magnetization   0.0 μB/f.u.
Space-group type   I4/mmm



[5]
This record from Alexandria via LeMat-Bulk describes a relaxed structure of LiAgPd2Cl. The functional is PBEsol.

```
LiAgPd2Cl
1.0
4.987 0.000 0.000
0.000 4.987 0.000
0.000 0.000 4.776
Li Ag Pd Cl
1 1 2 1
direct
0.000 0.000 0.000 Li
0.500 0.500 0.500 Ag
0.000 0.500 0.500 Pd
0.500 0.000 0.500 Pd
0.500 0.500 0.000 Cl
```

Magnetization   0.0 μB/f.u.
Space-group type   P4/mmm
Formation energy from raw total energies   583 meV/atom



[6]
This record from Alexandria via LeMat-Bulk describes a relaxed structure of LiAgMo3. The functional is PBEsol.

```
LiAgMo3
1.0
4.777 0.000 0.000
0.000 4.777 0.000
0.000 0.000 4.777
Li Ag Mo
1 1 3
direct
0.000 0.000 0.000 Li
0.500 0.500 0.500 Ag
0.000 0.500 0.500 Mo
0.500 0.000 0.500 Mo
0.500 0.500 0.000 Mo
```

Energy of formation from the pure elements   2523 meV per atom
Magnetization   0.0 μB/f.u.
Space-group type   Pm-3m